[1]
Compound: LaYTlNi2
Source: OQMD
Functional: PBE-GGA
Structure: optimized geometry

Lattice parameters (Å, degrees): 3.7638 7.6242 7.6242 30.39 90.00 90.00
Element x y z (fractional)
Ni 0.0000 0.1990 0.1990
Ni 0.0000 0.7969 0.7969
La 0.5000 0.3610 0.3610
Tl 0.0000 0.0055 0.0055
Y 0.5000 0.6377 0.6377

- VASP energy (eV/atom) = -5.42
- crystal system = orthorhombic



[2]
Compound: LaTmNi4
Source: OQMD
Functional: PBE-GGA
Structure: optimized geometry

Lattice parameters (Å, degrees): 5.0876 5.0876 5.0876 60.00 60.00 60.00
Element x y z (fractional)
Ni 0.3762 0.3762 0.3762
Ni 0.3762 0.8715 0.3762
Ni 0.3762 0.3762 0.8715
Ni 0.8715 0.3762 0.3762
La 0.0000 0.0000 0.0000
Tm 0.7500 0.7500 0.7500

- crystal system = cubic
- formation energy (kJ per mole of atoms) = -38.6



[3]
Compound: LaTmNi4
Source: OQMD
Functional: PBE-GGA
Structure: optimized geometry

Lattice parameters (Å, degrees): 5.4294 5.4294 8.0196 90.00 90.00 120.00
Element x y z (fractional)
Ni 0.5000 0.5000 0.7704
Ni 0.3333 0.6667 0.0000
Ni 0.6667 0.3333 0.0000
Ni 0.5000 0.0000 0.7704
Ni 0.0000 0.5000 0.7704
Ni 0.5000 0.0000 0.2296
Ni 0.5000 0.5000 0.2296
Ni 0.0000 0.5000 0.2296
La 0.0000 0.0000 0.0000
La 0.0000 0.0000 0.5000
Tm 0.3333 0.6667 0.5000
Tm 0.6667 0.3333 0.5000

- crystal system = hexagonal
- formation energy (kJ per mole of atoms) = -8.7



[4]
Compound: LaTm2Ni9
Source: OQMD
Functional: PBE-GGA
Structure: optimized geometry

Lattice parameters (Å, degrees): 8.5615 8.5615 8.5615 33.83 33.83 33.83
Each line ends with the local moment (μB).
Element x y z (fractional)
Ni 0.6670 0.6670 0.6670  -0.10
Ni 0.0824 0.5854 0.5854  -0.09
Ni 0.3330 0.3330 0.3330  -0.10
Ni 0.4146 0.9176 0.4146  -0.12
Ni 0.5854 0.0824 0.5854  -0.12
Ni 0.5854 0.5854 0.0824  -0.10
Ni 0.5000 0.5000 0.5000  -0.10
Ni 0.4146 0.4146 0.9176  -0.10
Ni 0.9176 0.4146 0.4146  -0.09
Tm 0.8595 0.8595 0.8595  0.03
Tm 0.1405 0.1405 0.1405  0.03
La 0.0000 0.0000 0.0000  0.02

- crystal system = trigonal
- formation energy (kJ per mole of atoms) = -40.4



[5]
Compound: LaUNi
Source: OQMD
Functional: PBE-GGA
Structure: optimized geometry

Lattice parameters (Å, degrees): 4.6899 4.6899 4.6899 60.00 60.00 60.00
Element x y z (fractional)
U 0.5000 0.5000 0.5000
Ni 0.2500 0.2500 0.2500
La 0.0000 0.0000 0.0000

- crystal system = cubic
- formation energy (kJ per mole of atoms) = 49.8



[6]
Compound: LaY2Ni9
Source: OQMD
Functional: PBE-GGA
Structure: optimized geometry

Lattice parameters (Å, degrees): 5.0026 5.0026 8.6330 73.16 106.84 120.00
Each line ends with the local moment (μB).
Element x y z (fractional)
Y 0.8603 0.1397 0.5809  0.01
Y 0.1397 0.8603 0.4191  0.01
Ni 0.6672 0.3328 0.0017  -0.04
Ni 0.3328 0.6672 0.9983  -0.04
Ni 0.0824 0.4169 0.2485  -0.05
Ni 0.4169 0.0824 0.7515  -0.06
Ni 0.5000 0.5000 0.5000  -0.05
Ni 0.9176 0.5831 0.7515  -0.05
Ni 0.5831 0.9176 0.2485  -0.07
Ni 0.4169 0.5831 0.7515  -0.06
Ni 0.5831 0.4169 0.2485  -0.06
La 0.0000 0.0000 0.0000  0.01

- crystal system = trigonal
- formation energy (kJ per mole of atoms) = -36.7



[7]
Compound: LaZnNi2
Source: OQMD
Functional: PBE-GGA
Structure: optimized geometry

Lattice parameters (Å, degrees): 4.6642 4.6642 4.6642 60.00 60.00 60.00
Element x y z (fractional)
Ni 0.7500 0.7500 0.7500
Ni 0.0000 0.0000 0.0000
Zn 0.5000 0.5000 0.5000
La 0.2500 0.2500 0.2500

- crystal system = cubic
- formation energy (kJ per mole of atoms) = 1.9



[8]
Compound: LaZn2Ni3
Source: OQMD
Functional: PBE-GGA
Structure: optimized geometry

Lattice parameters (Å, degrees): 5.2661 5.2661 3.8986 90.00 90.00 120.00
Element x y z (fractional)
Zn 0.3333 0.6667 0.0000
Zn 0.6667 0.3333 0.0000
La 0.0000 0.0000 0.0000
Ni 0.0000 0.5000 0.5000
Ni 0.5000 0.5000 0.5000
Ni 0.5000 0.0000 0.5000

- crystal system = hexagonal
- formation energy (kJ per mole of atoms) = -35.3



[9]
Compound: LaZnNi
Source: OQMD
Functional: PBE-GGA
Structure: optimized geometry

Lattice parameters (Å, degrees): 7.1718 7.1718 4.0015 90.00 90.00 120.00
Element x y z (fractional)
La 0.0000 0.5828 0.5000
La 0.4172 0.4172 0.5000
La 0.5828 0.0000 0.5000
Zn 0.0000 0.2282 0.0000
Zn 0.7718 0.7718 0.0000
Zn 0.2282 0.0000 0.0000
Ni 0.0000 0.0000 0.5000
Ni 0.3333 0.6667 0.0000
Ni 0.6667 0.3333 0.0000

- crystal system = hexagonal
- formation energy (kJ per mole of atoms) = -38.7



[10]
Compound: LaZnNi
Source: OQMD
Functional: PBE-GGA
Structure: optimized geometry

Lattice parameters (Å, degrees): 8.1380 8.1380 3.1839 90.00 90.00 120.00
Element x y z (fractional)
Ni 0.3805 0.3805 0.5000
Ni 0.0000 0.6195 0.5000
Ni 0.6195 0.0000 0.5000
La 0.0000 0.3031 0.0000
La 0.6969 0.6969 0.0000
La 0.3031 0.0000 0.0000
Zn 0.6667 0.3333 0.0000
Zn 0.3333 0.6667 0.0000
Zn 0.0000 0.0000 0.5000

- crystal system = hexagonal
- formation energy (kJ per mole of atoms) = 8.0



[11]
Compound: LaZnNi
Source: OQMD
Functional: PBE-GGA
Structure: optimized geometry

Lattice parameters (Å, degrees): 6.8576 6.8576 4.3882 90.00 90.00 120.00
Element x y z (fractional)
La 0.0000 0.5664 0.5000
La 0.4336 0.4336 0.5000
La 0.5664 0.0000 0.5000
Ni 0.0000 0.2157 0.0000
Ni 0.7843 0.7843 0.0000
Ni 0.2157 0.0000 0.0000
Zn 0.0000 0.0000 0.5000
Zn 0.3333 0.6667 0.0000
Zn 0.6667 0.3333 0.0000

- crystal system = hexagonal
- formation energy (kJ per mole of atoms) = -17.8



[12]
Compound: La3Zn2Ni4
Source: OQMD
Functional: PBE-GGA
Structure: optimized geometry

Lattice parameters (Å, degrees): 5.4005 5.4005 8.4157 97.46 97.46 46.36
Element x y z (fractional)
Zn 0.3202 0.3202 0.7145
Zn 0.6798 0.6798 0.2855
Ni 0.9154 0.9154 0.8624
Ni 0.7382 0.7382 0.5859
Ni 0.0846 0.0846 0.1376
Ni 0.2618 0.2618 0.4141
La 0.3748 0.3748 0.1213
La 0.6252 0.6252 0.8787
La 0.0000 0.0000 0.5000

- crystal system = monoclinic
- formation energy (kJ per mole of atoms) = -37.6



Copy entry 8 word for word.
Compound: LaZn2Ni3
Source: OQMD
Functional: PBE-GGA
Structure: optimized geometry

Lattice parameters (Å, degrees): 5.2661 5.2661 3.8986 90.00 90.00 120.00
Element x y z (fractional)
Zn 0.3333 0.6667 0.0000
Zn 0.6667 0.3333 0.0000
La 0.0000 0.0000 0.0000
Ni 0.0000 0.5000 0.5000
Ni 0.5000 0.5000 0.5000
Ni 0.5000 0.0000 0.5000

- crystal system = hexagonal
- formation energy (kJ per mole of atoms) = -35.3



Please write out number 11 again, unchanged.
Compound: LaZnNi
Source: OQMD
Functional: PBE-GGA
Structure: optimized geometry

Lattice parameters (Å, degrees): 6.8576 6.8576 4.3882 90.00 90.00 120.00
Element x y z (fractional)
La 0.0000 0.5664 0.5000
La 0.4336 0.4336 0.5000
La 0.5664 0.0000 0.5000
Ni 0.0000 0.2157 0.0000
Ni 0.7843 0.7843 0.0000
Ni 0.2157 0.0000 0.0000
Zn 0.0000 0.0000 0.5000
Zn 0.3333 0.6667 0.0000
Zn 0.6667 0.3333 0.0000

- crystal system = hexagonal
- formation energy (kJ per mole of atoms) = -17.8



Please write out number 4 again, unchanged.
Compound: LaTm2Ni9
Source: OQMD
Functional: PBE-GGA
Structure: optimized geometry

Lattice parameters (Å, degrees): 8.5615 8.5615 8.5615 33.83 33.83 33.83
Each line ends with the local moment (μB).
Element x y z (fractional)
Ni 0.6670 0.6670 0.6670  -0.10
Ni 0.0824 0.5854 0.5854  -0.09
Ni 0.3330 0.3330 0.3330  -0.10
Ni 0.4146 0.9176 0.4146  -0.12
Ni 0.5854 0.0824 0.5854  -0.12
Ni 0.5854 0.5854 0.0824  -0.10
Ni 0.5000 0.5000 0.5000  -0.10
Ni 0.4146 0.4146 0.9176  -0.10
Ni 0.9176 0.4146 0.4146  -0.09
Tm 0.8595 0.8595 0.8595  0.03
Tm 0.1405 0.1405 0.1405  0.03
La 0.0000 0.0000 0.0000  0.02

- crystal system = trigonal
- formation energy (kJ per mole of atoms) = -40.4